Entry from the Alexandria database: a relaxed structure of NdVAs2O8 (PBE with a Hubbard U).

a = 5.950 Å, b = 5.950 Å, c = 5.950 Å
α = 105.94°, β = 105.94°, γ = 116.78°
Each line ends with the local moment (μB).
Fractional positions:
O (0.766, 0.077, 0.689)  0.00
O (0.923, 0.234, 0.311)  0.00
O (0.923, 0.611, 0.689)  0.00
O (0.309, 0.482, 0.173)  -0.01
O (0.864, 0.691, 0.173)  -0.01
O (0.309, 0.136, 0.827)  -0.01
O (0.389, 0.077, 0.311)  0.00
O (0.518, 0.691, 0.827)  -0.01
Nd (0.250, 0.750, 0.500)  0.00
As (0.750, 0.250, 0.500)  0.01
As (0.500, 0.500, 0.000)  0.00
V (0.000, 0.000, 0.000)  1.93

Computed properties:
DFT total energy (eV per atom): -6.911
ρ (g/cm³): 4.91
Space group: No. 119
Density of states at the Fermi level (states/eV/f.u.): 0.0